A plane-wave DFT calculation with meta-GGA SCAN was carried out for Ba2AlIn at its PBEsol-relaxed geometry.

Cell: 4.387 5.722 10.748 Å, 90.00 90.00 90.00°
Space group Imm2 (No. 44)
Inequivalent atoms, fractional coordinates:
Ba (0.000, 0.000, 0.000) x2
Ba (0.000, 0.500, 0.188) x2
Al (0.000, 0.500, 0.765) x2
In (0.000, 0.000, 0.417) x2

For the energy above the most stable polymorph in this dataset, the calculation gives 0 meV per atom. As for the energy of formation from the pure elements: -1.39 eV/f.u. The calculation puts the density of states at the Fermi level at 6.233 states/eV per cell. The calculation puts the total energy at -243.251 eV for the cell shown.